1.
FeCoIr2 | GGA-PBEsol | relaxed

a = 3.920 Å, b = 2.622 Å, c = 9.542 Å
α = 90.00°, β = 90.00°, γ = 90.00°
Space group Amm2 (No. 38)
Unique sites:
Fe  0.000  0.000  0.000
Co  0.500  0.000  0.129
Ir  0.000  0.000  0.736
Ir  0.500  0.000  0.392

Output
**M_tot**: 5.95 μB/cell
**E_form**: 0.03 eV per atom

***

2.
LiMgZn2 | GGA-PBEsol | relaxed

a = 3.941 Å, b = 3.941 Å, c = 8.101 Å
α = 90.00°, β = 90.00°, γ = 90.00°
Space group I4/mmm (No. 139)
Unique sites:
Li  0.000  0.000  0.000
Mg  0.000  0.000  0.500
Zn  0.000  0.500  0.250

Output
**M_tot**: 0.00 μB/cell
**E_form**: -0.11 eV per atom

***

Question: Which of these has the lowest E_form?
Answer: LiMgZn2